OsWO2: optimized geometry, PBE with a Hubbard U.

Values from the calculation:
total DFT energy (no corrections)	-6.357	eV/atom
DOS at the Fermi energy	20.51	states/eV/cell
polymorph energy (0 for the lowest one)	1292	meV per atom
volume	181	Å³ per cell

a = 5.659 Å, b = 5.659 Å, c = 5.659 Å
α = 90.00°, β = 90.00°, γ = 90.00°
Space group Fm-3m (No. 225)
Asymmetric unit:
Os  0.000  0.000  0.000 (multiplicity 4)
W  0.000  0.000  0.500 (multiplicity 4)
O  0.250  0.250  0.250 (multiplicity 8)